Run A
DFT (PBE-GGA) results for crystalline GaNi3P at its relaxed geometry.

## Properties
The magnetization comes out at 0.000 μB/atom.

Cell lengths 4.3057, 4.3057, 4.3057 Å; angles 90.00, 90.00, 90.00 degrees
Closest atoms and distances in Å follow each position.
Positions (direct):
Ni  0.0000  0.0000  0.5000  2 Ga 2.15
Ni  0.0000  0.5000  0.0000  2 Ga 2.15
Ni  0.5000  0.0000  0.0000  2 Ga 2.15
P  0.5000  0.5000  0.5000  12 Ni 3.04
Ga  0.0000  0.0000  0.0000  6 Ni 2.15

Run B
DFT (PBE-GGA) results for crystalline GaNi3P at its relaxed geometry.

## Properties
The magnetization comes out at 0.000 μB/atom.

Cell lengths 4.1561, 4.1561, 4.1561 Å; angles 90.00, 90.00, 90.00 degrees
Closest atoms and distances in Å follow each position.
Positions (direct):
Ni  0.0000  0.0000  0.5000  2 P 2.08
Ni  0.0000  0.5000  0.0000  2 P 2.08
Ni  0.5000  0.0000  0.0000  2 P 2.08
Ga  0.5000  0.5000  0.5000  12 Ni 2.94
P  0.0000  0.0000  0.0000  6 Ni 2.08

Result of the stability comparison: run B is the most stable of them.

Run A
DFT (PBE-GGA) results for crystalline PaGa3Ni2 at its relaxed geometry.

## Properties
The magnetization comes out at 0.128 μB/atom.

Cell lengths 5.2936, 6.0763, 6.0763 Å; angles 99.40, 90.00, 90.00 degrees
Closest atoms and distances in Å follow each position.
Positions (direct):
Ni  0.0000  0.2257  0.7743  6 Ga 2.43-2.57, 2 Ni 2.65
Ni  0.5000  0.2257  0.7743  6 Ga 2.43-2.57, 2 Ni 2.65
Ni  0.5000  0.7743  0.2257  6 Ga 2.43-2.57, 2 Ni 2.65
Ni  0.0000  0.7743  0.2257  6 Ga 2.43-2.57, 2 Ni 2.65
Pa  0.2500  0.3812  0.3812  4 Ni 3.01, 9 Ga 3.02-3.29, 2 Pa 3.24
Pa  0.7500  0.6188  0.6188  4 Ni 3.01, 9 Ga 3.02-3.29, 2 Pa 3.24
Ga  0.2500  0.5582  0.8972  4 Ni 2.43-2.57, 1 Ga 2.64
Ga  0.2500  0.8972  0.5582  4 Ni 2.43-2.57, 1 Ga 2.64
Ga  0.2500  0.9971  0.9971  4 Ni 2.48, 4 Ga 2.64-2.65
Ga  0.7500  0.0029  0.0029  4 Ni 2.48, 4 Ga 2.64-2.65
Ga  0.7500  0.1028  0.4418  4 Ni 2.43-2.57, 1 Ga 2.64
Ga  0.7500  0.4418  0.1028  4 Ni 2.43-2.57, 1 Ga 2.64

Run B
DFT (PBE-GGA) results for crystalline PaGa3Ni2 at its relaxed geometry.

## Properties
The magnetization comes out at 0.000 μB/atom.

Cell lengths 4.1029, 8.9787, 8.9787 Å; angles 120.00, 90.00, 90.00 degrees
Closest atoms and distances in Å follow each position.
Positions (direct):
Ni  0.5000  0.6228  0.8114  6 Ga 2.44-2.52
Ni  0.5000  0.1886  0.3772  6 Ga 2.44-2.52
Ni  0.5000  0.8114  0.1886  6 Ga 2.44-2.52
Ni  0.5000  0.8114  0.6228  6 Ga 2.44-2.52
Ni  0.5000  0.3772  0.1886  6 Ga 2.44-2.52
Ni  0.5000  0.1886  0.8114  6 Ga 2.44-2.52
Ga  0.0000  0.2842  0.0000  4 Ni 2.52, 4 Ga 2.55-2.82
Ga  0.5000  0.5000  0.0000  4 Ni 2.44
Ga  0.0000  0.0000  0.2842  4 Ni 2.52, 4 Ga 2.55-2.82
Ga  0.0000  0.7158  0.0000  4 Ni 2.52, 4 Ga 2.55-2.82
Ga  0.0000  0.0000  0.7158  4 Ni 2.52, 4 Ga 2.55-2.82
Ga  0.5000  0.0000  0.5000  4 Ni 2.44
Ga  0.0000  0.2842  0.2842  4 Ni 2.52, 4 Ga 2.55-2.82
Ga  0.0000  0.7158  0.7158  4 Ni 2.52, 4 Ga 2.55-2.82
Ga  0.5000  0.5000  0.5000  4 Ni 2.44
Pa  0.0000  0.6667  0.3333  6 Ni 3.05, 12 Ga 3.24-3.31
Pa  0.5000  0.0000  0.0000  6 Ni 2.93, 12 Ga 3.27
Pa  0.0000  0.3333  0.6667  6 Ni 3.05, 12 Ga 3.24-3.31

Result of the stability comparison: run B is the most stable of them.

Run A
DFT (PBE-GGA) results for crystalline Pa2GaNi9 at its relaxed geometry.

## Properties
The magnetization comes out at 0.000 μB/atom.

Cell lengths 4.8419, 4.8419, 8.6412 Å; angles 73.73, 73.73, 60.00 degrees
Closest atoms and distances in Å follow each position.
Positions (direct):
Ni  0.9182  0.4162  0.2495  7 Ni 2.41-2.49
Ni  0.6671  0.6671  0.9986  6 Ni 2.46-2.49
Ni  0.4162  0.4162  0.2495  7 Ni 2.41-2.49
Ni  0.3329  0.3329  0.0014  6 Ni 2.46-2.49
Ni  0.4162  0.9182  0.2495  7 Ni 2.41-2.49
Ni  0.5000  0.5000  0.5000  6 Ni 2.48
Ni  0.0818  0.5838  0.7505  7 Ni 2.41-2.49
Ni  0.5838  0.0818  0.7505  7 Ni 2.41-2.49
Ni  0.5838  0.5838  0.7505  7 Ni 2.41-2.49
Ga  0.0000  0.0000  0.0000  6 Ni 2.80
Pa  0.8656  0.8656  0.4032  9 Ni 2.73-2.91
Pa  0.1344  0.1344  0.5968  9 Ni 2.73-2.91

Run B
DFT (PBE-GGA) results for crystalline Pa2GaNi9 at its relaxed geometry.

## Properties
The magnetization comes out at 0.000 μB/atom.

Cell lengths 3.8477, 3.8477, 10.9328 Å; angles 90.00, 90.00, 90.00 degrees
Closest atoms and distances in Å follow each position.
Positions (direct):
Ni  0.5000  0.5000  0.0000  8 Ni 2.55, 4 Ga 2.72
Ni  0.0000  0.5000  0.1533  8 Ni 2.55-2.72, 2 Ga 2.55, 2 Pa 2.63
Ni  0.5000  0.0000  0.5000  8 Ni 2.68-2.72, 4 Pa 2.77
Ni  0.5000  0.5000  0.6707  8 Ni 2.68-2.72, 4 Pa 2.72
Ni  0.5000  0.0000  0.1533  8 Ni 2.55-2.72, 2 Ga 2.55, 2 Pa 2.63
Ni  0.5000  0.5000  0.3293  8 Ni 2.68-2.72, 4 Pa 2.72
Ni  0.0000  0.5000  0.5000  8 Ni 2.68-2.72, 4 Pa 2.77
Ni  0.5000  0.0000  0.8467  2 Ga 2.55, 8 Ni 2.55-2.72, 2 Pa 2.63
Ni  0.0000  0.5000  0.8467  8 Ni 2.55-2.72, 2 Ga 2.55, 2 Pa 2.63
Pa  0.0000  0.0000  0.6820  12 Ni 2.63-2.77
Pa  0.0000  0.0000  0.3180  12 Ni 2.63-2.77
Ga  0.0000  0.0000  0.0000  12 Ni 2.55-2.72

Result of the stability comparison: run B is the most stable of them.

Run A
DFT (PBE-GGA) results for crystalline PaGa3Ni at its relaxed geometry.

## Properties
The magnetization comes out at 0.000 μB/atom.

Cell lengths 4.1994, 4.1994, 5.7951 Å; angles 111.24, 111.24, 90.00 degrees
Closest atoms and distances in Å follow each position.
Positions (direct):
Ga  0.7583  0.2583  0.5166  2 Ni 2.37, 2 Ga 2.64
Ga  0.4198  0.4198  0.8396  1 Ni 2.28
Ga  0.2583  0.7583  0.5166  2 Ni 2.37, 2 Ga 2.64
Ni  0.6484  0.6484  0.2969  5 Ga 2.28-2.37
Pa  0.0054  0.0054  0.0107  12 Ga 3.09-3.28, 4 Ni 3.29

Run B
DFT (PBE-GGA) results for crystalline PaGa3Ni at its relaxed geometry.

## Properties
The magnetization comes out at 0.000 μB/atom.

Cell lengths 5.7520, 5.3529, 6.0557 Å; angles 90.00, 90.00, 90.00 degrees
Closest atoms and distances in Å follow each position.
Positions (direct):
Pa  0.3894  0.3050  0.7007  2 Ni 2.92-2.96, 9 Ga 2.95-3.26
Pa  0.8896  0.0477  0.2008  2 Ni 2.93-2.96, 9 Ga 2.95-3.26
Ni  0.1777  0.8084  0.7008  5 Ga 2.34-2.39
Ni  0.6777  0.5445  0.2008  5 Ga 2.34-2.39
Ga  0.9762  0.5246  0.4630  2 Ni 2.34-2.39
Ga  0.8585  0.0807  0.7008  1 Ni 2.34
Ga  0.4762  0.8282  0.4386  2 Ni 2.34-2.39
Ga  0.3586  0.2721  0.2008  1 Ni 2.34
Ga  0.9762  0.5246  0.9385  2 Ni 2.34-2.39
Ga  0.4762  0.8282  0.9630  2 Ni 2.34-2.39

Result of the stability comparison: run A is the most stable of them.

Run A
DFT (PBE-GGA) results for crystalline Ga2NiPb2 at its relaxed geometry.

## Properties
The magnetization comes out at 0.000 μB/atom.

Cell lengths 6.5200, 6.5200, 5.2289 Å; angles 90.00, 90.00, 90.00 degrees
Closest atoms and distances in Å follow each position.
Positions (direct):
Ga  0.6558  0.1558  0.0000  2 Ni 2.46
Ga  0.8442  0.6558  0.0000  2 Ni 2.46
Ga  0.3442  0.8442  0.0000  2 Ni 2.46
Ga  0.1558  0.3442  0.0000  2 Ni 2.46
Pb  0.3214  0.1786  0.5000  2 Ga 3.03, 5 Pb 3.29-3.39
Pb  0.8214  0.3214  0.5000  2 Ga 3.03, 5 Pb 3.29-3.39
Pb  0.6786  0.8214  0.5000  2 Ga 3.03, 5 Pb 3.29-3.39
Pb  0.1786  0.6786  0.5000  2 Ga 3.03, 5 Pb 3.29-3.39
Ni  0.0000  0.0000  0.0000  4 Ga 2.46
Ni  0.5000  0.5000  0.0000  4 Ga 2.46

Run B
DFT (PBE-GGA) results for crystalline Ga2NiPb2 at its relaxed geometry.

## Properties
The magnetization comes out at 0.000 μB/atom.

Cell lengths 7.0165, 7.0165, 4.9197 Å; angles 90.00, 90.00, 90.00 degrees
Closest atoms and distances in Å follow each position.
Positions (direct):
Pb  0.1690  0.3310  0.0000  2 Ni 2.61
Pb  0.8310  0.6690  0.0000  2 Ni 2.61
Pb  0.6690  0.1690  0.0000  2 Ni 2.61
Pb  0.3310  0.8310  0.0000  2 Ni 2.61
Ni  0.5000  0.5000  0.0000  4 Pb 2.61
Ni  0.0000  0.0000  0.0000  4 Pb 2.61
Ga  0.1461  0.6461  0.5000  1 Ga 2.90, 2 Pb 3.07
Ga  0.8539  0.3539  0.5000  1 Ga 2.90, 2 Pb 3.07
Ga  0.6461  0.8539  0.5000  1 Ga 2.90, 2 Pb 3.07
Ga  0.3539  0.1461  0.5000  1 Ga 2.90, 2 Pb 3.07

Run C
DFT (PBE-GGA) results for crystalline Ga2NiPb2 at its relaxed geometry.

## Properties
The magnetization comes out at 0.000 μB/atom.

Cell lengths 3.5843, 3.5843, 9.3304 Å; angles 78.93, 78.93, 90.00 degrees
Closest atoms and distances in Å follow each position.
Positions (direct):
Pb  0.5886  0.5886  0.8229  4 Ni 2.99, 1 Pb 3.18
Pb  0.4114  0.4114  0.1771  4 Ni 2.99, 1 Pb 3.18
Ga  0.2500  0.7500  0.5000  4 Ga 2.53
Ga  0.7500  0.2500  0.5000  4 Ga 2.53
Ni  0.0000  0.0000  0.0000  8 Pb 2.99

Result of the stability comparison: run A is the most stable of them.

Run A
DFT (PBE-GGA) results for crystalline GaNi2Pd8 at its relaxed geometry.

## Properties
The magnetization comes out at 0.247 μB/atom.

Cell lengths 6.3396, 6.9404, 6.9404 Å; angles 43.67, 56.79, 56.79 degrees
Closest atoms and distances in Å follow each position.
Positions (direct):
Ga  0.0000  0.0000  0.0000  6 Pd 2.52-2.58, 2 Ni 2.58
Pd  0.2553  0.7584  0.7584  1 Ga 2.52, 1 Ni 2.59, 5 Pd 2.66-2.81
Pd  0.7723  0.1732  0.6657  5 Pd 2.54-2.81, 1 Ga 2.58, 2 Ni 2.59-2.63
Pd  0.2277  0.8268  0.3343  5 Pd 2.54-2.81, 1 Ga 2.58, 2 Ni 2.59-2.63
Pd  0.2277  0.3343  0.8268  5 Pd 2.54-2.81, 1 Ga 2.58, 2 Ni 2.59-2.63
Pd  0.7746  0.6194  0.6194  1 Ni 2.52, 2 Pd 2.66-2.69
Pd  0.7447  0.2416  0.2416  1 Ga 2.52, 1 Ni 2.59, 5 Pd 2.66-2.81
Pd  0.7723  0.6657  0.1732  5 Pd 2.54-2.81, 1 Ga 2.58, 2 Ni 2.59-2.63
Pd  0.2254  0.3806  0.3806  1 Ni 2.52, 2 Pd 2.66-2.69
Ni  0.4966  0.1389  0.1389  6 Pd 2.52-2.63, 1 Ga 2.58
Ni  0.5034  0.8611  0.8611  6 Pd 2.52-2.63, 1 Ga 2.58

Run B
DFT (PBE-GGA) results for crystalline GaNi2Pd8 at its relaxed geometry.

## Properties
The magnetization comes out at 0.237 μB/atom.

Cell lengths 4.7313, 6.6850, 6.6850 Å; angles 59.37, 76.95, 76.95 degrees
Closest atoms and distances in Å follow each position.
Positions (direct):
Pd  0.2185  0.7663  0.3662  1 Ga 2.45, 1 Ni 2.51, 3 Pd 2.65-2.73
Pd  0.3373  0.3442  0.3442  1 Ni 2.59, 8 Pd 2.74-2.90
Pd  0.2185  0.3662  0.7663  1 Ga 2.45, 1 Ni 2.51, 3 Pd 2.65-2.73
Pd  0.7815  0.6338  0.2337  1 Ga 2.45, 1 Ni 2.51, 3 Pd 2.65-2.73
Pd  0.7815  0.2337  0.6338  1 Ga 2.45, 1 Ni 2.51, 3 Pd 2.65-2.73
Pd  0.9159  0.2214  0.2214  1 Ga 2.50, 2 Ni 2.62-2.70, 4 Pd 2.73-2.74
Pd  0.6627  0.6558  0.6558  1 Ni 2.59, 8 Pd 2.74-2.90
Pd  0.0841  0.7786  0.7786  1 Ga 2.50, 2 Ni 2.62-2.70, 4 Pd 2.73-2.74
Ga  0.0000  0.0000  0.0000  2 Ni 2.41, 6 Pd 2.45-2.50
Ni  0.5060  0.8866  0.8866  1 Ga 2.41, 5 Pd 2.51-2.70, 1 Ni 2.62
Ni  0.4940  0.1134  0.1134  1 Ga 2.41, 5 Pd 2.51-2.70, 1 Ni 2.62

Result of the stability comparison: run A is the most stable of them.

Run A
DFT (PBE-GGA) results for crystalline PmGaNiPd at its relaxed geometry.

## Properties
The magnetization comes out at 0.000 μB/atom.

Cell lengths 4.3015, 4.3002, 5.3393 Å; angles 113.68, 90.00, 120.01 degrees
Closest atoms and distances in Å follow each position.
Positions (direct):
Ga  0.1067  0.2134  0.9622  3 Ni 2.51, 3 Pd 2.60
Ni  0.4141  0.8281  0.8844  3 Ga 2.51, 3 Pd 2.73
Pm  0.6186  0.2372  0.4977  4 Ni 2.90-3.08, 4 Pd 2.96-3.05
Pd  0.8269  0.6538  0.1230  3 Ga 2.60, 3 Ni 2.73

Run B
DFT (PBE-GGA) results for crystalline PmGaNiPd at its relaxed geometry.

## Properties
The magnetization comes out at 0.000 μB/atom.

Cell lengths 4.6710, 4.6710, 4.6710 Å; angles 60.00, 60.00, 60.00 degrees
Closest atoms and distances in Å follow each position.
Positions (direct):
Ga  0.5000  0.5000  0.5000  4 Ni 2.86, 4 Pd 2.86
Ni  0.7500  0.7500  0.7500  4 Pm 2.86, 4 Ga 2.86
Pm  0.0000  0.0000  0.0000  4 Ni 2.86, 4 Pd 2.86
Pd  0.2500  0.2500  0.2500  4 Pm 2.86, 4 Ga 2.86

Result of the stability comparison: run A is the most stable of them.

Run A
DFT (PBE-GGA) results for crystalline PmGa2Ni at its relaxed geometry.

## Properties
The magnetization comes out at 0.000 μB/atom.

Cell lengths 3.1958, 3.1958, 7.0135 Å; angles 90.00, 90.00, 90.00 degrees
Closest atoms and distances in Å follow each position.
Positions (direct):
Pm  0.5000  0.5000  0.5000  8 Ga 3.15, 4 Pm 3.20, 2 Ni 3.51
Ni  0.5000  0.5000  0.0000  8 Ga 2.61
Ga  0.0000  0.0000  0.1874  4 Ni 2.61, 1 Ga 2.63
Ga  0.0000  0.0000  0.8126  4 Ni 2.61, 1 Ga 2.63

Run B
DFT (PBE-GGA) results for crystalline PmGa2Ni at its relaxed geometry.

## Properties
The magnetization comes out at 0.000 μB/atom.

Cell lengths 4.1126, 4.1126, 5.7553 Å; angles 69.07, 69.07, 60.00 degrees
Closest atoms and distances in Å follow each position.
Positions (direct):
Ga  0.7106  0.7106  0.8681  3 Ni 2.47, 3 Ga 2.75
Ga  0.2894  0.2894  0.1319  3 Ni 2.47, 3 Ga 2.75
Ni  0.0000  0.0000  0.0000  6 Ga 2.47
Pm  0.5000  0.5000  0.5000  8 Ga 3.06-3.31

Run C
DFT (PBE-GGA) results for crystalline PmGa2Ni at its relaxed geometry.

## Properties
The magnetization comes out at 0.000 μB/atom.

Cell lengths 4.1162, 4.2052, 9.0414 Å; angles 103.45, 90.00, 90.00 degrees
Closest atoms and distances in Å follow each position.
Positions (direct):
Ga  0.5000  0.0000  0.0000  4 Ni 2.47
Ga  0.0000  0.5000  0.0000  4 Ni 2.44
Ga  0.5000  0.2908  0.5817  1 Ni 2.38, 2 Ga 2.55
Ga  0.5000  0.7092  0.4183  1 Ni 2.38, 2 Ga 2.55
Pm  0.0000  0.1408  0.2815  4 Ni 3.17, 10 Ga 3.18-3.35
Pm  0.0000  0.8592  0.7185  4 Ni 3.17, 10 Ga 3.18-3.35
Ni  0.5000  0.5740  0.1480  5 Ga 2.38-2.47, 1 Ni 2.60
Ni  0.5000  0.4260  0.8520  5 Ga 2.38-2.47, 1 Ni 2.60

Result of the stability comparison: run C is the most stable of them.